# ZrTa2Se | the Alexandria database | meta-GGA SCAN | single point on PBEsol structure
# formation energy without anion corrections = 0.081 eV per atom
# mass density = 11.9 g/cm³
data_ZrTa2Se
_cell_length_a 3.039
_cell_length_b 3.039
_cell_length_c 8.029
_cell_angle_alpha 90.00
_cell_angle_beta 90.00
_cell_angle_gamma 90.00
_space_group_name_H-M_alt 'P 4/m m m'
_space_group_IT_number 123
_space_group_name_Hall '-P 4 2'
loop_
_atom_site_label
_atom_site_fract_x
_atom_site_fract_y
_atom_site_fract_z
Zr1 0.000 0.000 0.000
Ta1 0.500 0.500 0.292
Se1 0.000 0.000 0.500